A plane-wave DFT calculation with PBE was carried out for Na2CrBiSb after structural relaxation.

Lattice parameters (Å, degrees): 5.522 5.522 5.191 90.00 90.00 90.00
Sites, in units of the cell vectors:
Na 0.000 0.500 0.000
Na 0.500 0.000 0.000
Cr 0.000 0.000 0.000
Bi 0.000 0.000 0.500
Sb 0.500 0.500 0.500

Properties
- Energy relative to the elements, uncorrected: 11.8 kcal/mol of atoms